An optimized crystal structure of Gd2MgNi, computed with PBE.

a b c (Å): 3.4730 3.4730 7.9827
angles (deg): 90.00 90.00 90.00
Closest atoms and distances in Å follow each position.
Space group P4/mmm (No. 123)
Asymmetric unit:
1 Gd 0.0000 0.0000 0.2035  4 Ni 2.94, 1 Gd 3.25
2 Mg 0.5000 0.5000 0.5000  8 Gd 3.41, 4 Mg 3.47
3 Ni 0.5000 0.5000 0.0000  8 Gd 2.94

Summary:
The calculation puts the calculated formation energy at -0.2224 eV per atom. The size of the total moment is 14.23 μB per cell. The volume comes out at 24.072 A^3/atom. As for the crystal system: tetragonal. The distance to the lowest polymorph of the same formula is 0 meV/atom. The total energy is -9.1068 eV per atom.